The following is a PBE calculation of a relaxed structure of MnTeRuSe2, from the Alexandria database.

Cell lengths 4.885, 4.565, 4.885 Å; angles 90.00, 90.00, 90.00 degrees
Each line ends with the local moment (μB).
Positions (direct):
Se 0.500 0.000 0.000  -0.04
Te 0.500 0.500 0.500  -0.02
Se 0.000 0.000 0.500  -0.03
Mn 0.000 0.500 0.000  0.36
Ru 0.000 0.000 0.000  -0.10

Computed properties:
**Raw formation energy**: 0.842 eV per atom
**SG**: P4/mmm
**Crystal system**: tetragonal


The following is a PBE calculation of a relaxed structure of MnV2RuSe, from the Alexandria database.

Cell lengths 4.306, 4.486, 4.306 Å; angles 90.00, 90.00, 90.00 degrees
Positions (direct):
Se 0.500 0.500 0.500
V 0.500 0.000 0.000
V 0.000 0.000 0.500
Mn 0.000 0.000 0.000
Ru 0.000 0.500 0.000

Computed properties:
**Raw formation energy**: 0.869 eV per atom
**SG**: P4/mmm
**Crystal system**: tetragonal


The following is a PBE calculation of a relaxed structure of Mn2SiRu, from the Alexandria database.

Cell lengths 2.920, 4.055, 4.151 Å; angles 90.00, 90.00, 90.00 degrees
Each line ends with the local moment (μB).
Positions (direct):
Si 0.000 0.500 0.500  0.03
Mn 0.000 0.000 0.000  2.90
Ru 0.500 0.000 0.500  0.11
Mn 0.500 0.500 0.000  -1.11

Computed properties:
**Raw formation energy**: -0.318 eV per atom
**SG**: Pmmm
**Crystal system**: orthorhombic


The following is a PBE calculation of a relaxed structure of Mn2SiRu, from the Alexandria database.

Cell lengths 2.671, 2.671, 7.805 Å; angles 90.00, 90.00, 113.67 degrees
Each line ends with the local moment (μB).
Positions (direct):
Mn 0.500 0.500 0.239  2.73
Si 0.500 0.500 0.758  -0.02
Mn 0.000 0.000 0.989  1.05
Ru 0.000 0.000 0.514  0.07

Computed properties:
**Raw formation energy**: 0.091 eV per atom
**SG**: Cmm2
**Crystal system**: orthorhombic